A relaxed Li2HgPb9 crystal, computed with PBE.

The structure belongs to space group P4/mmm (No. 123); the cell edges are 4.807, 4.807 and 14.929 Å and the angles 90.00°, 90.00° and 90.00°. The asymmetric unit holds Li at (0.000, 0.000, 0.164), Hg at (0.000, 0.000, 0.500), Pb at (0.000, 0.500, 0.000), Pb at (0.000, 0.500, 0.327), Pb at (0.500, 0.500, 0.164) and Pb at (0.500, 0.500, 0.500).

The calculated volume comes out at 345.0 Å³ per cell. As for the density of states at the Fermi level: 0.334 states/eV per atom. For the electronic total energy, the calculation gives -3.199 eV per atom.

A relaxed LiRe3Ru crystal, computed with PBE.

The structure belongs to space group Pm-3m (No. 221); the cell edges are 4.700, 4.700 and 4.700 Å and the angles 90.00°, 90.00° and 90.00°. The asymmetric unit holds Li at (0.000, 0.000, 0.000), Re at (0.000, 0.500, 0.500) and Ru at (0.500, 0.500, 0.500).

The calculated volume comes out at 103.9 Å³ per cell. As for the density of states at the Fermi level: 1.393 states/eV per atom. For the electronic total energy, the calculation gives -7.639 eV per atom.

A relaxed CeSm2Rh crystal, computed with PBE.

The structure belongs to space group R-3m (No. 166, hexagonal axes); the cell edges are 3.6814, 3.6814 and 31.6484 Å and the angles 90.00°, 90.00° and 120.00°. The asymmetric unit holds Ce at (0.0000, 0.0000, 0.0000), Sm at (0.0000, 0.0000, 0.1098) and Rh at (0.0000, 0.0000, 0.5000).

The calculated volume comes out at 371.5 Å³ per cell. As for the density of states at the Fermi level: 2.104 states/eV per atom. For the electronic total energy, the calculation gives -5.740 eV per atom.